Compound: ZrNb2Sb2
Source: OQMD via LeMat-Bulk
Functional: GGA-PBE
Structure: relaxed

The structure in POSCAR format:
```
ZrNb2Sb2
1.0
-1.944 1.944 7.386
1.944 -1.944 7.386
1.944 1.944 -7.386
Zr Nb Sb
1 2 2
direct
0.000 0.000 0.000
0.250 0.750 0.500
0.750 0.250 0.500
0.395 0.395 0.000
0.605 0.605 0.000
```

Output
V in A^3/atom: 22.3
Uncorrected energy in eV/cell: -37.18
Size of the total moment in μB per atom: 0.000
Calculated density in g/cm³: 7.74